This record from the Alexandria database describes Na3Pt5 after structural relaxation. The functional is PBE.

a b c (Å): 5.7530 5.7530 4.0471
angles (deg): 90.00 90.00 97.08
Closest atoms and distances in Å follow each position.
Positions (direct):
Na: 0.0000 0.0000 0.0000  4 Na 2.68, 4 Pt 2.88
Na: 0.2297 0.2297 0.5000  2 Na 2.68, 10 Pt 2.79-2.99
Na: 0.7703 0.7703 0.5000  2 Na 2.68, 10 Pt 2.79-2.99
Pt: 0.0000 0.5000 0.0000  6 Pt 2.79-2.88, 6 Na 2.88-2.96
Pt: 0.2814 0.7186 0.5000  6 Pt 2.77-2.79, 4 Na 2.79-2.99
Pt: 0.5000 0.0000 0.0000  6 Pt 2.79-2.88, 6 Na 2.88-2.96
Pt: 0.5000 0.5000 0.0000  8 Pt 2.77-2.88, 4 Na 2.89
Pt: 0.7186 0.2814 0.5000  6 Pt 2.77-2.79, 4 Na 2.79-2.99

## Properties
Excess energy over the best structure of this formula in the dataset   0.0096 eV/atom
Total energy   -35.1 eV per formula unit
SG   Cmmm (65)
E_form   -111 meV/atom